A | Below is crystalline NaFeGeSb at its relaxed geometry, with properties calculated at the PBE level.

CIF file:
```
data_NaFeGeSb
_chemical_formula_sum 'Na1 Fe1 Ge1 Sb1'
_space_group_name_H-M_alt 'P 1'
_space_group_IT_number 1
_cell_length_a 4.753
_cell_length_b 4.753
_cell_length_c 4.753
_cell_angle_alpha 60.00
_cell_angle_beta 60.00
_cell_angle_gamma 60.00
loop_
_space_group_symop_operation_xyz
'x,y,z'
loop_
_atom_site_label
_atom_site_type_symbol
_atom_site_fract_x
_atom_site_fract_y
_atom_site_fract_z
Na1 Na 0.000 0.000 0.000
Fe1 Fe 0.500 0.500 0.500
Ge1 Ge 0.750 0.750 0.750
Sb1 Sb 0.250 0.250 0.250
```

Output
Magnetic moment = 2.17 μB/f.u.

B | Below is crystalline NaFeGeSb at its relaxed geometry, with properties calculated at the PBE level.

CIF file:
```
data_NaFeGeSb
_chemical_formula_sum 'Na1 Fe1 Ge1 Sb1'
_space_group_name_H-M_alt 'P 1'
_space_group_IT_number 1
_cell_length_a 4.901
_cell_length_b 4.901
_cell_length_c 4.901
_cell_angle_alpha 60.00
_cell_angle_beta 60.00
_cell_angle_gamma 60.00
loop_
_space_group_symop_operation_xyz
'x,y,z'
loop_
_atom_site_label
_atom_site_type_symbol
_atom_site_fract_x
_atom_site_fract_y
_atom_site_fract_z
Na1 Na 0.000 0.000 0.000
Fe1 Fe 0.750 0.750 0.750
Ge1 Ge 0.500 0.500 0.500
Sb1 Sb 0.250 0.250 0.250
```

Output
Magnetic moment = 2.76 μB/f.u.

C | Below is crystalline NaFeGeSb at its relaxed geometry, with properties calculated at the PBE level.

CIF file:
```
data_NaFeGeSb
_chemical_formula_sum 'Na1 Fe1 Ge1 Sb1'
_space_group_name_H-M_alt 'P 1'
_space_group_IT_number 1
_cell_length_a 4.866
_cell_length_b 4.866
_cell_length_c 4.866
_cell_angle_alpha 60.00
_cell_angle_beta 60.00
_cell_angle_gamma 60.00
loop_
_space_group_symop_operation_xyz
'x,y,z'
loop_
_atom_site_label
_atom_site_type_symbol
_atom_site_fract_x
_atom_site_fract_y
_atom_site_fract_z
Na1 Na 0.000 0.000 0.000
Fe1 Fe 0.250 0.250 0.250
Ge1 Ge 0.750 0.750 0.750
Sb1 Sb 0.500 0.500 0.500
```

Output
Magnetic moment = 2.40 μB/f.u.

Most stable structure - A; separation to the second - 0.170 eV/atom.

A | Below is crystalline NdYFe2Ge4 at its relaxed geometry, with properties calculated at the PBE level.

CIF file:
```
data_NdYFe2Ge4
_chemical_formula_sum 'Nd1 Y1 Fe2 Ge4'
_space_group_name_H-M_alt 'P 1'
_space_group_IT_number 1
_cell_length_a 4.405
_cell_length_b 4.232
_cell_length_c 8.229
_cell_angle_alpha 90.00
_cell_angle_beta 104.09
_cell_angle_gamma 90.00
loop_
_space_group_symop_operation_xyz
'x,y,z'
loop_
_atom_site_label
_atom_site_type_symbol
_atom_site_fract_x
_atom_site_fract_y
_atom_site_fract_z
Nd1 Nd 0.000 0.000 0.000
Y1 Y 0.778 0.500 0.582
Fe1 Fe 0.273 0.000 0.404
Fe2 Fe 0.513 0.500 0.185
Ge1 Ge 0.078 0.500 0.293
Ge2 Ge 0.339 0.000 0.691
Ge3 Ge 0.442 0.500 0.893
Ge4 Ge 0.708 0.000 0.299
```

Output
Magnetic moment = 0.01 μB/f.u.

B | Below is crystalline NdYFe2Ge4 at its relaxed geometry, with properties calculated at the PBE level.

CIF file:
```
data_NdYFe2Ge4
_chemical_formula_sum 'Nd1 Y1 Fe2 Ge4'
_space_group_name_H-M_alt 'P 1'
_space_group_IT_number 1
_cell_length_a 4.235
_cell_length_b 8.597
_cell_length_c 8.597
_cell_angle_alpha 28.39
_cell_angle_beta 90.00
_cell_angle_gamma 90.00
loop_
_space_group_symop_operation_xyz
'x,y,z'
loop_
_atom_site_label
_atom_site_type_symbol
_atom_site_fract_x
_atom_site_fract_y
_atom_site_fract_z
Nd1 Nd 0.000 0.000 0.000
Y1 Y 0.500 0.783 0.783
Fe1 Fe 0.000 0.210 0.210
Fe2 Fe 0.500 0.575 0.575
Ge1 Ge 0.000 0.346 0.346
Ge2 Ge 0.000 0.643 0.643
Ge3 Ge 0.500 0.144 0.144
Ge4 Ge 0.500 0.437 0.437
```

Output
Magnetic moment = 1.55 μB/f.u.

Most stable structure - A; separation to the second - 0.055 eV/atom.

A | Below is crystalline FeNiGePd at its relaxed geometry, with properties calculated at the PBE level.

CIF file:
```
data_FeNiGePd
_chemical_formula_sum 'Fe1 Ni1 Ge1 Pd1'
_space_group_name_H-M_alt 'P 1'
_space_group_IT_number 1
_cell_length_a 4.211
_cell_length_b 4.211
_cell_length_c 4.211
_cell_angle_alpha 60.00
_cell_angle_beta 60.00
_cell_angle_gamma 60.00
loop_
_space_group_symop_operation_xyz
'x,y,z'
loop_
_atom_site_label
_atom_site_type_symbol
_atom_site_fract_x
_atom_site_fract_y
_atom_site_fract_z
Fe1 Fe 0.000 0.000 0.000
Ni1 Ni 0.500 0.500 0.500
Ge1 Ge 0.750 0.750 0.750
Pd1 Pd 0.250 0.250 0.250
```

Output
Magnetic moment = 2.75 μB/f.u.

B | Below is crystalline FeNiGePd at its relaxed geometry, with properties calculated at the PBE level.

CIF file:
```
data_FeNiGePd
_chemical_formula_sum 'Fe1 Ni1 Ge1 Pd1'
_space_group_name_H-M_alt 'P 1'
_space_group_IT_number 1
_cell_length_a 4.203
_cell_length_b 4.203
_cell_length_c 4.203
_cell_angle_alpha 60.00
_cell_angle_beta 60.00
_cell_angle_gamma 60.00
loop_
_space_group_symop_operation_xyz
'x,y,z'
loop_
_atom_site_label
_atom_site_type_symbol
_atom_site_fract_x
_atom_site_fract_y
_atom_site_fract_z
Fe1 Fe 0.000 0.000 0.000
Ni1 Ni 0.250 0.250 0.250
Ge1 Ge 0.750 0.750 0.750
Pd1 Pd 0.500 0.500 0.500
```

Output
Magnetic moment = 2.87 μB/f.u.

Most stable structure - B; separation to the second - 0.016 eV/atom.

A | Below is crystalline FeReNiGe at its relaxed geometry, with properties calculated at the PBE level.

CIF file:
```
data_FeReNiGe
_chemical_formula_sum 'Fe1 Re1 Ni1 Ge1'
_space_group_name_H-M_alt 'P 1'
_space_group_IT_number 1
_cell_length_a 4.167
_cell_length_b 4.167
_cell_length_c 4.167
_cell_angle_alpha 60.00
_cell_angle_beta 60.00
_cell_angle_gamma 60.00
loop_
_space_group_symop_operation_xyz
'x,y,z'
loop_
_atom_site_label
_atom_site_type_symbol
_atom_site_fract_x
_atom_site_fract_y
_atom_site_fract_z
Fe1 Fe 0.000 0.000 0.000
Re1 Re 0.500 0.500 0.500
Ni1 Ni 0.250 0.250 0.250
Ge1 Ge 0.750 0.750 0.750
```

Output
Magnetic moment = 1.68 μB/f.u.

B | Below is crystalline FeReNiGe at its relaxed geometry, with properties calculated at the PBE level.

CIF file:
```
data_FeReNiGe
_chemical_formula_sum 'Fe1 Re1 Ni1 Ge1'
_space_group_name_H-M_alt 'P 1'
_space_group_IT_number 1
_cell_length_a 4.162
_cell_length_b 4.162
_cell_length_c 4.162
_cell_angle_alpha 60.00
_cell_angle_beta 60.00
_cell_angle_gamma 60.00
loop_
_space_group_symop_operation_xyz
'x,y,z'
loop_
_atom_site_label
_atom_site_type_symbol
_atom_site_fract_x
_atom_site_fract_y
_atom_site_fract_z
Fe1 Fe 0.000 0.000 0.000
Re1 Re 0.250 0.250 0.250
Ni1 Ni 0.500 0.500 0.500
Ge1 Ge 0.750 0.750 0.750
```

Output
Magnetic moment = 0.96 μB/f.u.

Most stable structure - A; separation to the second - 0.077 eV/atom.

A | Below is crystalline ScFeNiGe at its relaxed geometry, with properties calculated at the PBE level.

CIF file:
```
data_ScFeNiGe
_chemical_formula_sum 'Sc1 Fe1 Ni1 Ge1'
_space_group_name_H-M_alt 'P 1'
_space_group_IT_number 1
_cell_length_a 4.230
_cell_length_b 4.230
_cell_length_c 4.230
_cell_angle_alpha 60.00
_cell_angle_beta 60.00
_cell_angle_gamma 60.00
loop_
_space_group_symop_operation_xyz
'x,y,z'
loop_
_atom_site_label
_atom_site_type_symbol
_atom_site_fract_x
_atom_site_fract_y
_atom_site_fract_z
Sc1 Sc 0.000 0.000 0.000
Fe1 Fe 0.750 0.750 0.750
Ni1 Ni 0.250 0.250 0.250
Ge1 Ge 0.500 0.500 0.500
```

Output
Magnetic moment = 1.00 μB/f.u.

B | Below is crystalline ScFeNiGe at its relaxed geometry, with properties calculated at the PBE level.

CIF file:
```
data_ScFeNiGe
_chemical_formula_sum 'Sc1 Fe1 Ni1 Ge1'
_space_group_name_H-M_alt 'P 1'
_space_group_IT_number 1
_cell_length_a 4.339
_cell_length_b 4.339
_cell_length_c 4.339
_cell_angle_alpha 60.00
_cell_angle_beta 60.00
_cell_angle_gamma 60.00
loop_
_space_group_symop_operation_xyz
'x,y,z'
loop_
_atom_site_label
_atom_site_type_symbol
_atom_site_fract_x
_atom_site_fract_y
_atom_site_fract_z
Sc1 Sc 0.000 0.000 0.000
Fe1 Fe 0.500 0.500 0.500
Ni1 Ni 0.750 0.750 0.750
Ge1 Ge 0.250 0.250 0.250
```

Output
Magnetic moment = 2.54 μB/f.u.

C | Below is crystalline ScFeNiGe at its relaxed geometry, with properties calculated at the PBE level.

CIF file:
```
data_ScFeNiGe
_chemical_formula_sum 'Sc1 Fe1 Ni1 Ge1'
_space_group_name_H-M_alt 'P 1'
_space_group_IT_number 1
_cell_length_a 4.350
_cell_length_b 4.350
_cell_length_c 4.350
_cell_angle_alpha 60.00
_cell_angle_beta 60.00
_cell_angle_gamma 60.00
loop_
_space_group_symop_operation_xyz
'x,y,z'
loop_
_atom_site_label
_atom_site_type_symbol
_atom_site_fract_x
_atom_site_fract_y
_atom_site_fract_z
Sc1 Sc 0.000 0.000 0.000
Fe1 Fe 0.750 0.750 0.750
Ni1 Ni 0.500 0.500 0.500
Ge1 Ge 0.250 0.250 0.250
```

Output
Magnetic moment = 2.88 μB/f.u.

Most stable structure - A; separation to the second - 0.139 eV/atom.

A | Below is crystalline FeNiGeSe3 at its relaxed geometry, with properties calculated at the PBE level.

CIF file:
```
data_FeNiGeSe3
_chemical_formula_sum 'Fe2 Ni2 Ge2 Se6'
_space_group_name_H-M_alt 'P 1'
_space_group_IT_number 1
_cell_length_a 6.824
_cell_length_b 6.824
_cell_length_c 9.633
_cell_angle_alpha 90.00
_cell_angle_beta 90.00
_cell_angle_gamma 149.81
loop_
_space_group_symop_operation_xyz
'x,y,z'
loop_
_atom_site_label
_atom_site_type_symbol
_atom_site_fract_x
_atom_site_fract_y
_atom_site_fract_z
Fe1 Fe 0.000 0.000 0.000
Fe2 Fe 0.000 0.000 0.500
Ni1 Ni 0.457 0.543 0.750
Ni2 Ni 0.543 0.457 0.250
Ge1 Ge 0.194 0.806 0.250
Ge2 Ge 0.806 0.194 0.750
Se1 Se 0.075 0.925 0.750
Se2 Se 0.366 0.634 0.538
Se3 Se 0.366 0.634 0.962
Se4 Se 0.634 0.366 0.038
Se5 Se 0.634 0.366 0.462
Se6 Se 0.925 0.075 0.250
```

Output
Magnetic moment = 2.62 μB/f.u.

B | Below is crystalline FeNiGeSe3 at its relaxed geometry, with properties calculated at the PBE level.

CIF file:
```
data_FeNiGeSe3
_chemical_formula_sum 'Fe2 Ni2 Ge2 Se6'
_space_group_name_H-M_alt 'P 1'
_space_group_IT_number 1
_cell_length_a 6.953
_cell_length_b 6.953
_cell_length_c 9.500
_cell_angle_alpha 90.00
_cell_angle_beta 90.00
_cell_angle_gamma 150.42
loop_
_space_group_symop_operation_xyz
'x,y,z'
loop_
_atom_site_label
_atom_site_type_symbol
_atom_site_fract_x
_atom_site_fract_y
_atom_site_fract_z
Fe1 Fe 0.035 0.965 0.750
Fe2 Fe 0.965 0.035 0.250
Ni1 Ni 0.500 0.500 0.000
Ni2 Ni 0.500 0.500 0.500
Ge1 Ge 0.303 0.697 0.250
Ge2 Ge 0.697 0.303 0.750
Se1 Se 0.131 0.869 0.543
Se2 Se 0.131 0.869 0.957
Se3 Se 0.418 0.582 0.750
Se4 Se 0.582 0.418 0.250
Se5 Se 0.869 0.131 0.043
Se6 Se 0.869 0.131 0.457
```

Output
Magnetic moment = 2.36 μB/f.u.

Most stable structure - A; separation to the second - 0.025 eV/atom.